[1]
Compound: Tb2B4Ru3
Source: Alexandria
Functional: PBE
Structure: optimized geometry

```
data_Tb2B4Ru3
_space_group_name_H-M_alt 'F m m m'
_space_group_IT_number 69
_space_group_name_Hall '-F 2 2'
_cell_length_a 5.629
_cell_length_b 9.258
_cell_length_c 9.591
_cell_angle_alpha 90.00
_cell_angle_beta 90.00
_cell_angle_gamma 90.00
loop_
_atom_site_label
_atom_site_type_symbol
_atom_site_fract_x
_atom_site_fract_y
_atom_site_fract_z
Tb1 Tb 0.000 0.000 0.158
B1 B 0.000 0.215 0.335
Ru1 Ru 0.000 0.000 0.500
Ru2 Ru 0.250 0.250 0.000
```

## Properties
Energy in eV/cell: -257.79
Formation enthalpy at 0 K in eV per atom: -0.072
Total magnetic moment in μB per cell: 0.0
Crystal system: orthorhombic

[2]
Compound: Er7TlRh2
Source: Alexandria
Functional: PBE
Structure: optimized geometry

```
data_Er7TlRh2
_space_group_name_H-M_alt 'C m m m'
_space_group_IT_number 65
_space_group_name_Hall '-C 2 2'
_cell_length_a 8.822
_cell_length_b 13.595
_cell_length_c 5.159
_cell_angle_alpha 90.00
_cell_angle_beta 90.00
_cell_angle_gamma 90.00
loop_
_atom_site_label
_atom_site_type_symbol
_atom_site_fract_x
_atom_site_fract_y
_atom_site_fract_z
Er1 Er 0.000 0.000 0.000
Er2 Er 0.000 0.209 0.500
Er3 Er 0.186 0.370 0.000
Tl1 Tl 0.000 0.500 0.500
Rh1 Rh 0.000 0.204 0.000
```

## Properties
Energy in eV/cell: -103.07
Formation enthalpy at 0 K in eV per atom: -0.253
Total magnetic moment in μB per cell: 0.0
Crystal system: orthorhombic

[3]
Compound: VGa4
Source: Alexandria
Functional: PBE
Structure: optimized geometry

```
data_VGa4
_space_group_name_H-M_alt 'I m -3 m'
_space_group_IT_number 229
_space_group_name_Hall '-I 4 2 3'
_cell_length_a 5.804
_cell_length_b 5.804
_cell_length_c 5.804
_cell_angle_alpha 90.00
_cell_angle_beta 90.00
_cell_angle_gamma 90.00
loop_
_atom_site_label
_atom_site_type_symbol
_atom_site_fract_x
_atom_site_fract_y
_atom_site_fract_z
V1 V 0.000 0.000 0.000
Ga1 Ga 0.250 0.250 0.250
```

## Properties
Energy in eV/cell: -43.28
Formation enthalpy at 0 K in eV per atom: -0.083
Total magnetic moment in μB per cell: 1.2
Distance to the lowest polymorph of the same formula in meV/atom: 0
Crystal system: cubic